Record 1
# GGA-PBE K2MoRu, optimized geometry
data_K2MoRu
_cell_length_a 3.161
_cell_length_b 4.504
_cell_length_c 11.963
_cell_angle_alpha 90.00
_cell_angle_beta 90.00
_cell_angle_gamma 90.00
_space_group_name_H-M_alt 'C m m m'
_space_group_IT_number 65
_space_group_name_Hall '-C 2 2'
loop_
_atom_site_label
_atom_site_type_symbol
_atom_site_fract_x
_atom_site_fract_y
_atom_site_fract_z
K1 K 0.000 0.000 0.235
Mo1 Mo 0.000 0.500 0.500
Ru1 Ru 0.000 0.500 0.000
# Spin magnetization, μB/atom: 0.116
# E, eV per atom: -4.20
# DOS at the Fermi energy, states/eV per atom: 1.191
# Energy relative to the elements, eV per atom: 1.3763
# Crystal system: orthorhombic

Record 2
# GGA-PBE K2MoRu, optimized geometry
data_K2MoRu
_cell_length_a 2.718
_cell_length_b 2.718
_cell_length_c 11.818
_cell_angle_alpha 90.00
_cell_angle_beta 90.00
_cell_angle_gamma 90.00
_space_group_name_H-M_alt 'P 4/m m m'
_space_group_IT_number 123
_space_group_name_Hall '-P 4 2'
loop_
_atom_site_label
_atom_site_type_symbol
_atom_site_fract_x
_atom_site_fract_y
_atom_site_fract_z
K1 K 0.000 0.000 0.235
Mo1 Mo 0.500 0.500 0.500
Ru1 Ru 0.500 0.500 0.000
# Spin magnetization, μB/atom: 0.288
# E, eV per atom: -4.16
# DOS at the Fermi energy, states/eV per atom: 1.319
# Energy relative to the elements, eV per atom: 1.4189
# Crystal system: tetragonal

Record 3
# GGA-PBE K2MoRu, optimized geometry
data_K2MoRu
_cell_length_a 7.789
_cell_length_b 7.789
_cell_length_c 7.789
_cell_angle_alpha 90.00
_cell_angle_beta 90.00
_cell_angle_gamma 90.00
_space_group_name_H-M_alt 'F m -3 m'
_space_group_IT_number 225
_space_group_name_Hall '-F 4 2 3'
loop_
_atom_site_label
_atom_site_type_symbol
_atom_site_fract_x
_atom_site_fract_y
_atom_site_fract_z
K1 K 0.250 0.250 0.250
Mo1 Mo 0.000 0.000 0.000
Ru1 Ru 0.000 0.000 0.500
# Spin magnetization, μB/atom: 1.628
# E, eV per atom: -3.42
# DOS at the Fermi energy, states/eV per atom: 2.737
# Energy relative to the elements, eV per atom: 2.1544
# Crystal system: cubic

Record 4
# GGA-PBE K2MoRu, optimized geometry
data_K2MoRu
_cell_length_a 3.614
_cell_length_b 6.154
_cell_length_c 11.315
_cell_angle_alpha 90.00
_cell_angle_beta 90.00
_cell_angle_gamma 90.00
_space_group_name_H-M_alt 'I m m 2'
_space_group_IT_number 44
_space_group_name_Hall 'I 2 -2'
loop_
_atom_site_label
_atom_site_type_symbol
_atom_site_fract_x
_atom_site_fract_y
_atom_site_fract_z
K1 K 0.000 0.000 0.000
K2 K 0.000 0.500 0.206
Mo1 Mo 0.000 0.500 0.803
Ru1 Ru 0.000 0.000 0.427
# Spin magnetization, μB/atom: 0.000
# E, eV per atom: -4.56
# DOS at the Fermi energy, states/eV per atom: 0.603
# Energy relative to the elements, eV per atom: 1.0190
# Crystal system: orthorhombic

> Which value of E does entry 3 give?

-3.42 eV per atom

> Look up the spin magnetization of the first one.

0.116 μB/atom

> What is the DOS at the Fermi energy in the fourth record?

0.603 states/eV per atom